This record from Alexandria describes crystalline Dy2ZnOs at its relaxed geometry. The functional is PBEsol.

a b c (Å): 6.8224 6.8224 6.8224
angles (deg): 90.00 90.00 90.00
Positions (direct):
Dy (0.2500, 0.2500, 0.2500)
Dy (0.2500, 0.2500, 0.7500)
Dy (0.2500, 0.7500, 0.2500)
Dy (0.2500, 0.7500, 0.7500)
Dy (0.7500, 0.2500, 0.2500)
Dy (0.7500, 0.2500, 0.7500)
Dy (0.7500, 0.7500, 0.2500)
Dy (0.7500, 0.7500, 0.7500)
Zn (0.0000, 0.0000, 0.0000)
Zn (0.0000, 0.5000, 0.5000)
Zn (0.5000, 0.0000, 0.5000)
Zn (0.5000, 0.5000, 0.0000)
Os (0.0000, 0.0000, 0.5000)
Os (0.0000, 0.5000, 0.0000)
Os (0.5000, 0.0000, 0.0000)
Os (0.5000, 0.5000, 0.5000)

***

This record from Alexandria describes crystalline ScIrSe2 at its relaxed geometry. The functional is PBEsol.

offset from the most stable computed form = 0.0 meV per atom
uncorrected formation energy = -0.475 eV per atom

a b c (Å): 5.7383 6.7643 3.9042
angles (deg): 90.00 90.00 90.00
Positions (direct):
Sc (0.0000, 0.0000, 0.0000)
Sc (0.5000, 0.5000, 0.0000)
Ir (0.0000, 0.5000, 0.0000)
Ir (0.5000, 0.0000, 0.0000)
Se (0.0000, 0.2770, 0.5000)
Se (0.0000, 0.7230, 0.5000)
Se (0.5000, 0.2230, 0.5000)
Se (0.5000, 0.7770, 0.5000)

***

This record from Alexandria describes crystalline YLu3Cr4O16 at its relaxed geometry. The functional is PBEsol.

uncorrected formation energy = -2.650 eV per atom

a b c (Å): 5.8085 5.8085 9.8754
angles (deg): 90.00 90.00 116.30
Positions (direct):
Y (0.0000, 0.0000, 0.0000)
Lu (0.0000, 0.5000, 0.2519)
Lu (0.5000, 0.0000, 0.7481)
Lu (0.5000, 0.5000, 0.5000)
Cr (0.0000, 0.0000, 0.5000)
Cr (0.0000, 0.5000, 0.7460)
Cr (0.5000, 0.0000, 0.2540)
Cr (0.5000, 0.5000, 0.0000)
O (0.0852, 0.2707, 0.4070)
O (0.0878, 0.7706, 0.8387)
O (0.2294, 0.9122, 0.1613)
O (0.2313, 0.4198, 0.0939)
O (0.2707, 0.0852, 0.5930)
O (0.2717, 0.5851, 0.6543)
O (0.4149, 0.7283, 0.3457)
O (0.4198, 0.2313, 0.9061)
O (0.5802, 0.7687, 0.9061)
O (0.5851, 0.2717, 0.3457)
O (0.7283, 0.4149, 0.6543)
O (0.7293, 0.9148, 0.5930)
O (0.7687, 0.5802, 0.0939)
O (0.7706, 0.0878, 0.1613)
O (0.9122, 0.2294, 0.8387)
O (0.9148, 0.7293, 0.4070)

***

For the records above, the corresponding magnetic moment values read 0.0; 0.0; 4.0 μB per formula unit.
For the records above, the corresponding total DFT energy (no corrections) values read -6.22; -6.51; -8.75 eV per atom.
For the records above, the corresponding Fermi-level density of states values read 0.582; 0.785; 0.662 states/eV per atom.